Entry 1:
Computed, not measured: an optimized crystal structure of PmPr4In5 at the PBE level of DFT.

**E_tot**: -4.252 eV per atom
**SG**: P4/mmm, No. 123
**DOS at the Fermi energy**: 5.70 states/eV/cell
**Formation energy**: -0.50 eV per atom
**Magnetization**: 0.00 μB per formula unit

abc: 3.897 3.897 19.431
angles: 90.00 90.00 90.00
Positions (direct):
1 In 0.500 0.500 0.299
2 In 0.500 0.500 0.097
3 In 0.500 0.500 0.903
4 In 0.500 0.500 0.500
5 In 0.500 0.500 0.701
6 Pm 0.000 0.000 0.000
7 Pr 0.000 0.000 0.198
8 Pr 0.000 0.000 0.601
9 Pr 0.000 0.000 0.399
10 Pr 0.000 0.000 0.802

***

Entry 2:
Computed, not measured: an optimized crystal structure of Rb2Cd2Ga at the PBE level of DFT.

**E_tot**: -1.229 eV per atom
**SG**: I4/mmm, No. 139
**DOS at the Fermi energy**: 4.07 states/eV/cell
**Formation energy**: 0.13 eV per atom
**E above lowest polymorph**: 0.080 eV per atom
**Magnetization**: 0.00 μB per formula unit

abc: 7.264 7.264 6.515
angles: 56.12 56.12 90.00
Positions (direct):
1 Ga 0.000 0.000 0.000
2 Rb 0.250 0.750 0.500
3 Rb 0.750 0.250 0.500
4 Cd 0.328 0.328 0.344
5 Cd 0.672 0.672 0.656